Crystalline CaCd2W at its relaxed geometry. Source: the Alexandria database, functional GGA-PBEsol.

The space group is I-4m2 (No. 119) and the conventional cell measures 4.201, 4.201 and 9.152 Å, with angles of 90.00, 90.00 and 90.00 degrees. The distinct sites, in fractional coordinates, are Ca at (0.000, 0.000, 0.000), Cd at (0.000, 0.000, 0.500), Cd at (0.000, 0.500, 0.250) and W at (0.000, 0.500, 0.750).

For the density, the calculation gives 9.2 Mg/m³. The calculation puts the density of states at the Fermi level at 1.008 states/eV per atom. Its total energy is -31.13 eV/cell. The value obtained for the polymorph energy (0 for the lowest one) is 118.6 kJ/mol of formula units. The value obtained for the size of the total moment is 0.48 μB per formula unit.

Crystalline AlNiAu at its relaxed geometry. Source: the Alexandria database, functional GGA-PBEsol.

The space group is I4mm (No. 107) and the conventional cell measures 3.018, 3.018 and 8.936 Å, with angles of 90.00, 90.00 and 90.00 degrees. The distinct sites, in fractional coordinates, are Al at (0.000, 0.000, 0.000), Ni at (0.000, 0.000, 0.370) and Au at (0.000, 0.000, 0.682).

For the density, the calculation gives 11.5 Mg/m³. The calculation puts the density of states at the Fermi level at 0.419 states/eV per atom. Its total energy is -30.77 eV/cell. The value obtained for the size of the total moment is 0.00 μB per formula unit.

Crystalline La3ZrGa5O14 at its relaxed geometry. Source: the Alexandria database, functional GGA-PBEsol.

The space group is P321 (No. 150) and the conventional cell measures 8.2537, 8.2537 and 5.1541 Å, with angles of 90.00, 90.00 and 120.00 degrees. The distinct sites, in fractional coordinates, are La at (0.0000, 0.5728, 0.0000), Zr at (0.0000, 0.0000, 0.0000), Ga at (0.0000, 0.2454, 0.5000), Ga at (0.3333, 0.6667, 0.5307), O at (0.0792, 0.8500, 0.2454), O at (0.1457, 0.4584, 0.7007) and O at (0.3333, 0.6667, 0.1799).

The formation energy from raw total energies is -2.65 eV/atom. For the density, the calculation gives 5.9 Mg/m³. The calculation puts the density of states at the Fermi level at 0.000 states/eV per atom. Its total energy is -176.35 eV/cell. The value obtained for the size of the total moment is 0.00 μB per formula unit.